# AlBiSe2, relaxed, DFT GGA-PBE
# Space group = R-3m, No. 166
# Uncorrected formation energy = -56.0 kJ/mol of atoms
# Density of states at the Fermi level = 0.5 states/eV/cell
# ΔE to the lowest computed polymorph = 0.0050 eV/atom
data_AlBiSe2
_space_group_name_H-M_alt 'P 1'
_space_group_IT_number 1
_space_group_name_Hall 'P 1'
_cell_length_a 8.920
_cell_length_b 8.920
_cell_length_c 8.920
_cell_angle_alpha 23.95
_cell_angle_beta 23.95
_cell_angle_gamma 23.95
loop_
_atom_site_label
_atom_site_type_symbol
_atom_site_fract_x
_atom_site_fract_y
_atom_site_fract_z
Se1 Se 0.887 0.887 0.887
Se2 Se 0.113 0.113 0.113
Bi1 Bi 0.000 0.000 0.000
Al1 Al 0.500 0.500 0.500